## SbIr2Rh (PBE)

Data for a geometry-optimized SbIr2Rh structure.

Unit cell a=8.800 b=8.800 c=8.800 alpha=19.32 beta=19.32 gamma=19.32
Atoms (fractional coordinates):
Sb: 0.000 0.000 0.000
Ir: 0.248 0.248 0.248
Ir: 0.499 0.499 0.499
Rh: 0.749 0.749 0.749

Results
Magnetic moment = 0.001 μB per formula unit
Formation energy from raw total energies = 30.6 kJ/mol of atoms
Theoretical density = 15.51 g cm⁻³